Record 1
A relaxed structure of LaZn2Pb2, computed with GGA-PBE.

Calculated values
energy relative to the lowest polymorph listed for this composition: 0.0446 eV/atom

Cell and atoms, written as CIF:
```
data_LaZn2Pb2
_chemical_formula_sum 'La2 Zn4 Pb4'
_cell_length_a 8.227
_cell_length_b 8.227
_cell_length_c 3.749
_cell_angle_alpha 90.00
_cell_angle_beta 90.00
_cell_angle_gamma 90.00
_symmetry_space_group_name_H-M 'P 4/m b m'
_symmetry_Int_Tables_number 127
_symmetry_space_group_name_Hall '-P 4 2ab'
loop_
_atom_site_label
_atom_site_fract_x
_atom_site_fract_y
_atom_site_fract_z
La1 0.000 0.000 0.000
Zn1 0.113 0.387 0.000
Pb1 0.180 0.680 0.500
```

Record 2
A relaxed structure of La6Zn5Pb, computed with GGA-PBE.

Cell and atoms, written as CIF:
```
data_La6Zn5Pb
_chemical_formula_sum 'La6 Zn5 Pb1'
_cell_length_a 5.374
_cell_length_b 7.618
_cell_length_c 8.544
_cell_angle_alpha 90.00
_cell_angle_beta 108.27
_cell_angle_gamma 90.00
_symmetry_space_group_name_H-M 'P 1 2/m 1'
_symmetry_Int_Tables_number 10
loop_
_symmetry_equiv_pos_as_xyz
'x,y,z'
'-x,-y,-z'
'-x,y,-z'
'x,-y,z'
loop_
_atom_site_label
_atom_site_fract_x
_atom_site_fract_y
_atom_site_fract_z
La1 0.000 0.238 0.000
La2 0.329 0.240 0.658
Zn1 0.165 0.000 0.330
Zn2 0.172 0.500 0.343
Zn3 0.500 0.000 0.000
Pb1 0.500 0.500 0.000
```

Computed M_tot (Bohr magnetons per cell) in order:
0.00; 0.00
Computed calculated total energy (eV for the cell shown) in order:
-31.8; -43.9